Density functional theory data (GGA-PBE) for an optimized crystal structure of MgSc3Ag.

extended XYZ file:
```
10
Lattice="4.602 0.000 1.052 0.000 4.702 0.000 0.071 0.000 10.283" Properties=species:S:1:pos:R:3 pbc="T T T"
Ag 4.573 1.176 8.049
Ag 3.085 3.527 3.968
Sc 4.123 3.527 10.017
Sc 1.252 3.527 1.392
Sc 1.803 1.176 9.573
Sc 0.378 3.527 5.216
Sc 3.534 1.176 2.000
Sc 2.677 1.176 5.749
Mg 2.244 3.527 7.646
Mg 0.811 1.176 3.320
```

Output
volume: 222 Å³/cell
space group: Cmcm (63)
formation enthalpy at 0 K: -0.0882 eV/atom